The following is a DFT calculation (PBEsol) of a relaxed structure of InOsPb.

```
data_InOsPb
_chemical_formula_sum 'In4 Os4 Pb4'
_cell_length_a 6.498
_cell_length_b 6.498
_cell_length_c 6.498
_cell_angle_alpha 90.00
_cell_angle_beta 90.00
_cell_angle_gamma 90.00
_space_group_name_H-M_alt 'F -4 3 m'
_space_group_IT_number 216
_space_group_name_Hall 'F -4 2 3'
loop_
_atom_site_label
_atom_site_type_symbol
_atom_site_fract_x
_atom_site_fract_y
_atom_site_fract_z
_atom_site_occupancy
In1 In 0.000 0.000 0.000 1
Os1 Os 0.250 0.250 0.250 1
Pb1 Pb 0.250 0.250 0.750 1
```

Values from the calculation:
Crystal system: cubic
Magnetization, Bohr magnetons per cell: 0.00
Energy relative to the elements, eV per atom: 1.203
Fermi-level density of states, states/eV per cell: 7.76

***

The following is a DFT calculation (PBEsol) of a relaxed structure of InOs3Pd.

```
data_InOs3Pd
_chemical_formula_sum 'In1 Os3 Pd1'
_cell_length_a 4.714
_cell_length_b 4.714
_cell_length_c 4.714
_cell_angle_alpha 90.00
_cell_angle_beta 90.00
_cell_angle_gamma 90.00
_space_group_name_H-M_alt 'P m -3 m'
_space_group_IT_number 221
_space_group_name_Hall '-P 4 2 3'
loop_
_atom_site_label
_atom_site_type_symbol
_atom_site_fract_x
_atom_site_fract_y
_atom_site_fract_z
_atom_site_occupancy
In1 In 0.000 0.000 0.000 1
Os1 Os 0.000 0.000 0.500 1
Pd1 Pd 0.500 0.500 0.500 1
```

Values from the calculation:
Crystal system: cubic
Magnetization, Bohr magnetons per cell: 2.17
Energy relative to the elements, eV per atom: 3.214
Fermi-level density of states, states/eV per cell: 9.91

***

The following is a DFT calculation (PBEsol) of a relaxed structure of InOsPd2Se.

```
data_InOsPd2Se
_chemical_formula_sum 'In1 Os1 Pd2 Se1'
_cell_length_a 4.723
_cell_length_b 4.723
_cell_length_c 5.137
_cell_angle_alpha 90.00
_cell_angle_beta 90.00
_cell_angle_gamma 90.00
_space_group_name_H-M_alt 'P 4/m m m'
_space_group_IT_number 123
_space_group_name_Hall '-P 4 2'
loop_
_atom_site_label
_atom_site_type_symbol
_atom_site_fract_x
_atom_site_fract_y
_atom_site_fract_z
_atom_site_occupancy
In1 In 0.000 0.000 0.000 1
Os1 Os 0.000 0.000 0.500 1
Pd1 Pd 0.000 0.500 0.500 1
Se1 Se 0.500 0.500 0.000 1
```

Values from the calculation:
Formation energy (no corrections), meV/atom: 1120
Crystal system: tetragonal
Magnetization, Bohr magnetons per cell: 0.00
Fermi-level density of states, states/eV per cell: 4.56

***

The following is a DFT calculation (PBEsol) of a relaxed structure of In3OsPt.

```
data_In3OsPt
_chemical_formula_sum 'In3 Os1 Pt1'
_cell_length_a 5.000
_cell_length_b 5.000
_cell_length_c 5.000
_cell_angle_alpha 90.00
_cell_angle_beta 90.00
_cell_angle_gamma 90.00
_space_group_name_H-M_alt 'P m -3 m'
_space_group_IT_number 221
_space_group_name_Hall '-P 4 2 3'
loop_
_atom_site_label
_atom_site_type_symbol
_atom_site_fract_x
_atom_site_fract_y
_atom_site_fract_z
_atom_site_occupancy
In1 In 0.000 0.000 0.500 1
Os1 Os 0.500 0.500 0.500 1
Pt1 Pt 0.000 0.000 0.000 1
```

Values from the calculation:
Crystal system: cubic
Magnetization, Bohr magnetons per cell: 2.38
Energy relative to the elements, eV per atom: 1.029
Fermi-level density of states, states/eV per cell: 5.66

***

The following is a DFT calculation (PBEsol) of a relaxed structure of InOsPt2.

```
data_InOsPt2
_chemical_formula_sum 'In1 Os1 Pt2'
_cell_length_a 3.315
_cell_length_b 3.315
_cell_length_c 5.812
_cell_angle_alpha 90.00
_cell_angle_beta 90.00
_cell_angle_gamma 90.00
_space_group_name_H-M_alt 'P 4 m m'
_space_group_IT_number 99
_space_group_name_Hall 'P 4 -2'
loop_
_atom_site_label
_atom_site_type_symbol
_atom_site_fract_x
_atom_site_fract_y
_atom_site_fract_z
_atom_site_occupancy
In1 In 0.000 0.000 0.000 1
Os1 Os 0.500 0.500 0.284 1
Pt1 Pt 0.000 0.000 0.493 1
Pt2 Pt 0.500 0.500 0.753 1
```

Values from the calculation:
Crystal system: tetragonal
Magnetization, Bohr magnetons per cell: 0.00
Energy relative to the elements, eV per atom: 0.185
Fermi-level density of states, states/eV per cell: 3.92

***

The following is a DFT calculation (PBEsol) of a relaxed structure of RbIn3Os.

```
data_RbIn3Os
_chemical_formula_sum 'Rb1 In3 Os1'
_cell_length_a 5.198
_cell_length_b 5.198
_cell_length_c 5.198
_cell_angle_alpha 90.00
_cell_angle_beta 90.00
_cell_angle_gamma 90.00
_space_group_name_H-M_alt 'P m -3 m'
_space_group_IT_number 221
_space_group_name_Hall '-P 4 2 3'
loop_
_atom_site_label
_atom_site_type_symbol
_atom_site_fract_x
_atom_site_fract_y
_atom_site_fract_z
_atom_site_occupancy
Rb1 Rb 0.000 0.000 0.000 1
In1 In 0.000 0.500 0.500 1
Os1 Os 0.500 0.500 0.500 1
```

Values from the calculation:
Crystal system: cubic
Magnetization, Bohr magnetons per cell: 0.00
Energy relative to the elements, eV per atom: 0.005
Fermi-level density of states, states/eV per cell: 0.69

***

The following is a DFT calculation (PBEsol) of a relaxed structure of In2ReOs.

```
data_In2ReOs
_chemical_formula_sum 'In6 Re3 Os3'
_cell_length_a 2.9371
_cell_length_b 2.9371
_cell_length_c 26.9944
_cell_angle_alpha 90.00
_cell_angle_beta 90.00
_cell_angle_gamma 120.00
_space_group_name_H-M_alt 'R -3 m'
_space_group_IT_number 166
_space_group_name_Hall '-R 3 2"'
loop_
_atom_site_label
_atom_site_type_symbol
_atom_site_fract_x
_atom_site_fract_y
_atom_site_fract_z
_atom_site_occupancy
In1 In 0.0000 0.0000 0.2485 1
Re1 Re 0.0000 0.0000 0.0000 1
Os1 Os 0.0000 0.0000 0.5000 1
```

Values from the calculation:
Crystal system: trigonal
Magnetization, Bohr magnetons per cell: 0.02
Energy relative to the elements, eV per atom: 0.646
Fermi-level density of states, states/eV per cell: 13.04

***

The following is a DFT calculation (PBEsol) of a relaxed structure of InReOs2.

```
data_InReOs2
_chemical_formula_sum 'In2 Re2 Os4'
_cell_length_a 9.143
_cell_length_b 2.812
_cell_length_c 4.903
_cell_angle_alpha 90.00
_cell_angle_beta 100.13
_cell_angle_gamma 90.00
_space_group_name_H-M_alt 'C 1 2/m 1'
_space_group_IT_number 12
_space_group_name_Hall '-C 2y'
loop_
_atom_site_label
_atom_site_type_symbol
_atom_site_fract_x
_atom_site_fract_y
_atom_site_fract_z
_atom_site_occupancy
In1 In 0.000 0.000 0.000 1
Re1 Re 0.000 0.500 0.500 1
Os1 Os 0.239 0.000 0.724 1
```

Values from the calculation:
Crystal system: monoclinic
Magnetization, Bohr magnetons per cell: 0.00
Energy relative to the elements, eV per atom: 0.458
Fermi-level density of states, states/eV per cell: 8.01